The following is a DFT calculation (PBE-GGA) of crystalline KLaRe2 at its relaxed geometry.

density: 11.1 g/cm3
final energy: -6.46 eV/atom
DOS(E_F): 1.7 states/eV/cell
ΔE to the lowest computed polymorph: 0.761 eV per atom

CIF file:
```
data_KLaRe2
_chemical_formula_sum 'K1 La1 Re2'
_symmetry_space_group_name_H-M 'P 1'
_symmetry_Int_Tables_number 1
_cell_length_a 5.364
_cell_length_b 3.919
_cell_length_c 3.919
_cell_angle_alpha 90.00
_cell_angle_beta 90.00
_cell_angle_gamma 90.00
loop_
_symmetry_equiv_pos_as_xyz
'x,y,z'
loop_
_atom_site_label
_atom_site_type_symbol
_atom_site_fract_x
_atom_site_fract_y
_atom_site_fract_z
K1 K 0.500 0.500 0.000
Re1 Re 0.000 0.000 0.000
Re2 Re 0.000 0.500 0.500
La1 La 0.500 0.000 0.500
```

---

The following is a DFT calculation (PBE-GGA) of crystalline BeV4Ga at its relaxed geometry.

density: 5.1 g/cm3
final energy: -6.45 eV/atom
DOS(E_F): 7.3 states/eV/cell

CIF file:
```
data_BeV4Ga
_chemical_formula_sum 'Be1 V4 Ga1'
_symmetry_space_group_name_H-M 'P 1'
_symmetry_Int_Tables_number 1
_cell_length_a 2.402
_cell_length_b 6.201
_cell_length_c 6.201
_cell_angle_alpha 90.25
_cell_angle_beta 90.00
_cell_angle_gamma 90.00
loop_
_symmetry_equiv_pos_as_xyz
'x,y,z'
loop_
_atom_site_label
_atom_site_type_symbol
_atom_site_fract_x
_atom_site_fract_y
_atom_site_fract_z
Be1 Be 0.500 0.000 0.000
V1 V 0.500 0.244 0.756
V2 V 0.000 0.219 0.219
Ga1 Ga 0.000 0.500 0.500
V3 V 0.000 0.781 0.781
V4 V 0.500 0.756 0.244
```

---

The following is a DFT calculation (PBE-GGA) of crystalline Dy7Tm3Tl2 at its relaxed geometry.

density: 9.3 g/cm3
final energy: -4.21 eV/atom
DOS(E_F): 11.2 states/eV/cell

CIF file:
```
data_Dy7Tm3Tl2
_chemical_formula_sum 'Dy7 Tm3 Tl2'
_symmetry_space_group_name_H-M 'P 1'
_symmetry_Int_Tables_number 1
_cell_length_a 3.586
_cell_length_b 5.577
_cell_length_c 18.328
_cell_angle_alpha 93.79
_cell_angle_beta 90.00
_cell_angle_gamma 90.00
loop_
_symmetry_equiv_pos_as_xyz
'x,y,z'
loop_
_atom_site_label
_atom_site_type_symbol
_atom_site_fract_x
_atom_site_fract_y
_atom_site_fract_z
Tl1 Tl 0.500 0.300 0.708
Dy1 Dy 0.500 0.742 0.459
Tm1 Tm 0.000 0.222 0.369
Dy2 Dy 0.000 0.000 0.000
Dy3 Dy 0.000 0.338 0.853
Tm2 Tm 0.500 0.500 0.000
Tl2 Tl 0.500 0.700 0.292
Dy4 Dy 0.500 0.836 0.828
Tm3 Tm 0.000 0.778 0.631
Dy5 Dy 0.500 0.164 0.172
Dy6 Dy 0.500 0.258 0.541
Dy7 Dy 0.000 0.662 0.147
```

---

The following is a DFT calculation (PBE-GGA) of crystalline Tb2NdSmSe6 at its relaxed geometry.

density: 5.9 g/cm3
formation energy from raw total energies: -1.848 eV/atom
final energy: -5.81 eV/atom
DOS(E_F): 0.0 states/eV/cell

CIF file:
```
data_Tb2NdSmSe6
_chemical_formula_sum 'Tb2 Nd1 Sm1 Se6'
_symmetry_space_group_name_H-M 'P 1'
_symmetry_Int_Tables_number 1
_cell_length_a 7.343
_cell_length_b 7.343
_cell_length_c 7.796
_cell_angle_alpha 61.90
_cell_angle_beta 61.90
_cell_angle_gamma 60.00
loop_
_symmetry_equiv_pos_as_xyz
'x,y,z'
loop_
_atom_site_label
_atom_site_type_symbol
_atom_site_fract_x
_atom_site_fract_y
_atom_site_fract_z
Tb1 Tb 0.013 0.014 0.960
Nd1 Nd 0.813 0.813 0.560
Se1 Se 0.125 0.401 0.748
Se2 Se 0.619 0.226 0.248
Se3 Se 0.908 0.619 0.248
Tb2 Tb 0.515 0.515 0.456
Se4 Se 0.725 0.125 0.748
Sm1 Sm 0.315 0.315 0.054
Se5 Se 0.401 0.725 0.748
Se6 Se 0.226 0.907 0.248
```

---

The following is a DFT calculation (PBE-GGA) of crystalline FeTcP2 at its relaxed geometry.

density: 7.5 g/cm3
final energy: -7.65 eV/atom
DOS(E_F): 1.9 states/eV/cell
ΔE to the lowest computed polymorph: 0.168 eV per atom

CIF file:
```
data_FeTcP2
_chemical_formula_sum 'Fe1 Tc1 P2'
_symmetry_space_group_name_H-M 'P 1'
_symmetry_Int_Tables_number 1
_cell_length_a 4.073
_cell_length_b 4.073
_cell_length_c 4.073
_cell_angle_alpha 60.00
_cell_angle_beta 60.00
_cell_angle_gamma 60.00
loop_
_symmetry_equiv_pos_as_xyz
'x,y,z'
loop_
_atom_site_label
_atom_site_type_symbol
_atom_site_fract_x
_atom_site_fract_y
_atom_site_fract_z
Fe1 Fe 0.000 0.000 0.000
Tc1 Tc 0.500 0.500 0.500
P1 P 0.750 0.750 0.750
P2 P 0.250 0.250 0.250
```

---

The following is a DFT calculation (PBE-GGA) of crystalline PaIn6Cl12 at its relaxed geometry.

density: 3.3 g/cm3
formation energy from raw total energies: -1.132 eV/atom
final energy: -3.66 eV/atom
DOS(E_F): 19.3 states/eV/cell

CIF file:
```
data_PaIn6Cl12
_chemical_formula_sum 'Pa1 In6 Cl12'
_symmetry_space_group_name_H-M 'P 1'
_symmetry_Int_Tables_number 1
_cell_length_a 8.913
_cell_length_b 8.913
_cell_length_c 8.913
_cell_angle_alpha 99.24
_cell_angle_beta 99.24
_cell_angle_gamma 99.24
loop_
_symmetry_equiv_pos_as_xyz
'x,y,z'
loop_
_atom_site_label
_atom_site_type_symbol
_atom_site_fract_x
_atom_site_fract_y
_atom_site_fract_z
In1 In 0.832 0.656 0.379
Cl1 Cl 0.012 0.933 0.712
Cl2 Cl 0.067 0.288 0.988
In2 In 0.621 0.168 0.344
In3 In 0.656 0.379 0.832
Cl3 Cl 0.566 0.424 0.185
Cl4 Cl 0.185 0.566 0.424
Cl5 Cl 0.576 0.815 0.434
Pa1 Pa 0.000 0.000 0.000
In4 In 0.168 0.344 0.621
Cl6 Cl 0.288 0.988 0.067
Cl7 Cl 0.424 0.185 0.566
Cl8 Cl 0.933 0.712 0.012
Cl9 Cl 0.988 0.067 0.288
In5 In 0.379 0.832 0.656
Cl10 Cl 0.434 0.576 0.815
In6 In 0.344 0.621 0.168
Cl11 Cl 0.815 0.434 0.576
Cl12 Cl 0.712 0.012 0.933
```

---

Table of total magnetization (μB per cell), in record order: 0.001 0.000 0.000 0.000 0.000 0.000